! ZrZn2In2 | Alexandria | GGA-PBE | optimized geometry; values from VASP
&SYSTEM
  ibrav = 0, nat = 5, ntyp = 3
/
ATOMIC_SPECIES
Zr 91.22 Zr.upf
Zn 65.41 Zn.upf
In 114.82 In.upf
CELL_PARAMETERS angstrom
-2.038 2.038 6.223
2.038 -2.038 6.223
2.038 2.038 -6.223
ATOMIC_POSITIONS crystal
Zr 0.000 0.000 0.000
Zn 0.250 0.750 0.500
Zn 0.750 0.250 0.500
In 0.392 0.392 0.000
In 0.608 0.608 0.000
! Total moment: 0.00 μB/atom
! Mass density: 7.3 Mg/m³
! Energy above the lowest structure with this stoichiometry: 150 meV/atom
! ΔE_f: 0.103 eV per atom
! Final energy: -16.1 eV per cell


! LiScSiAu | Alexandria | GGA-PBE | optimized geometry; values from VASP
&SYSTEM
  ibrav = 0, nat = 4, ntyp = 4
/
ATOMIC_SPECIES
Li 6.94 Li.upf
Sc 44.96 Sc.upf
Si 28.09 Si.upf
Au 196.97 Au.upf
CELL_PARAMETERS angstrom
0.000 3.240 3.240
3.240 0.000 3.240
3.240 3.240 0.000
ATOMIC_POSITIONS crystal
Li 0.000 0.000 0.000
Sc 0.500 0.500 0.500
Si 0.250 0.250 0.250
Au 0.750 0.750 0.750
! Total moment: 0.00 μB/atom
! Mass density: 6.8 Mg/m³
! Final energy: -19.1 eV per cell